Record 1
A plane-wave DFT calculation with PBE was carried out for SrNpO2 after structural relaxation.

Summary:
The calculation puts the formation energy (no corrections) at -225 kJ per mole of atoms. As for the symmetry: R-3m, No. 166. The total energy comes out at -8.4643 eV per atom.

a b c (Å): 3.5348 3.5348 6.2869
angles (deg): 73.67 73.67 60.00
Fractional positions:
1 Np 0.0000 0.0000 0.0000
2 Sr 0.5000 0.5000 0.5000
3 O 0.2569 0.2569 0.2293
4 O 0.7431 0.7431 0.7707

---

Record 2
A plane-wave DFT calculation with PBE was carried out for Sr2NpO5 after structural relaxation.

Summary:
The calculation puts the formation energy (no corrections) at -291 kJ per mole of atoms. As for the symmetry: C2/c, No. 15. The total energy comes out at -8.1577 eV per atom.

a b c (Å): 5.7323 6.5956 8.2148
angles (deg): 107.83 90.00 115.76
Fractional positions:
1 Sr 0.6342 0.3397 0.3331
2 Sr 0.2945 0.6603 0.1669
3 Sr 0.7055 0.3397 0.8331
4 Sr 0.3658 0.6603 0.6669
5 Np 0.0000 0.0000 0.0000
6 Np 0.0000 0.0000 0.5000
7 O 0.8950 0.2726 0.1011
8 O 0.9015 0.2604 0.5267
9 O 0.3590 0.2604 0.0267
10 O 0.6225 0.7274 0.3989
11 O 0.3775 0.2726 0.6011
12 O 0.1414 0.0000 0.2500
13 O 0.6410 0.7396 0.9733
14 O 0.0985 0.7396 0.4733
15 O 0.1050 0.7274 0.8989
16 O 0.8586 0.0000 0.7500